1.
Material: ZrAlAgRh
Method: DFT, GGA-PBE
State: optimized geometry

Calculated values
Space-group type   F-43m
Raw total energy   -6.113 eV/atom

The structure in POSCAR format:
```
ZrAlAgRh
1.0
0.0000 3.2486 3.2486
3.2486 0.0000 3.2486
3.2486 3.2486 0.0000
Zr Al Ag Rh
1 1 1 1
direct
0.0000 0.0000 0.0000
0.5000 0.5000 0.5000
0.2500 0.2500 0.2500
0.7500 0.7500 0.7500
```

2.
Material: BaGa4Hg
Method: DFT, GGA-PBE
State: optimized geometry

Calculated values
Space-group type   F-43m
Raw total energy   -2.554 eV/atom

The structure in POSCAR format:
```
BaGa4Hg
1.0
0.0000 4.1825 4.1825
4.1825 0.0000 4.1825
4.1825 4.1825 0.0000
Ba Ga Hg
1 4 1
direct
0.0000 0.0000 0.0000
0.3762 0.3762 0.3762
0.3762 0.3762 0.8715
0.3762 0.8715 0.3762
0.8715 0.3762 0.3762
0.7500 0.7500 0.7500
```

3.
Material: SiSb2Os
Method: DFT, GGA-PBE
State: optimized geometry

Calculated values
Space-group type   I-42d
E_form (uncorrected)   595 meV per atom

The structure in POSCAR format:
```
SiSb2Os
1.0
-3.0660 3.0660 5.7745
3.0660 -3.0660 5.7745
3.0660 3.0660 -5.7745
Si Sb Os
2 4 2
direct
0.0000 0.0000 0.0000
0.7500 0.2500 0.5000
0.1374 0.6250 0.0124
0.3750 0.3874 0.5124
0.6126 0.1250 0.9876
0.8750 0.8626 0.4876
0.2500 0.7500 0.5000
0.5000 0.5000 0.0000
```

4.
Material: CoSe2Br
Method: DFT, GGA-PBE
State: optimized geometry

Calculated values
Space-group type   P4/mmm
E_form (uncorrected)   187 meV per atom

The structure in POSCAR format:
```
CoSe2Br
1.0
3.1765 0.0000 0.0000
0.0000 3.1765 0.0000
0.0000 0.0000 8.2228
Co Se Br
1 2 1
direct
0.0000 0.0000 0.0000
0.5000 0.5000 0.1515
0.5000 0.5000 0.8485
0.0000 0.0000 0.5000
```

5.
Material: AgSn2BrCl4
Method: DFT, GGA-PBE
State: optimized geometry

Calculated values
Space-group type   C2/m
E_form (uncorrected)   -795 meV per atom

The structure in POSCAR format:
```
AgSn2BrCl4
1.0
6.7557 -2.0253 0.0000
6.7557 2.0253 0.0000
-4.9326 0.0000 8.4701
Ag Sn Br Cl
1 2 1 4
direct
0.0000 0.0000 0.0000
0.1795 0.1795 0.7502
0.8205 0.8205 0.2498
0.5000 0.5000 0.5000
0.1840 0.1840 0.2749
0.3751 0.3751 0.0681
0.6249 0.6249 0.9319
0.8160 0.8160 0.7251
```

6.
Material: Cd2ReOs
Method: DFT, GGA-PBE
State: optimized geometry

Calculated values
Space-group type   Fm-3m
Raw total energy   -5.252 eV/atom

The structure in POSCAR format:
```
Cd2ReOs
1.0
0.0000 3.2430 3.2430
3.2430 0.0000 3.2430
3.2430 3.2430 0.0000
Cd Re Os
2 1 1
direct
0.2500 0.2500 0.2500
0.7500 0.7500 0.7500
0.0000 0.0000 0.0000
0.5000 0.5000 0.5000
```

7.
Material: Tb2Ag6Pd
Method: DFT, GGA-PBE
State: optimized geometry

Calculated values
Space-group type   C2/m
Raw total energy   -3.782 eV/atom

The structure in POSCAR format:
```
Tb2Ag6Pd
1.0
6.8424 -2.0173 0.0000
6.8424 2.0173 0.0000
-2.6670 0.0000 6.5335
Tb Ag Pd
2 6 1
direct
0.0579 0.0579 0.3098
0.9421 0.9421 0.6902
0.1705 0.1705 0.9990
0.2694 0.2694 0.6761
0.3896 0.3896 0.3290
0.6104 0.6104 0.6710
0.7306 0.7306 0.3239
0.8295 0.8295 0.0010
0.5000 0.5000 0.0000
```

8.
Material: CaScBi2Au
Method: DFT, GGA-PBE
State: optimized geometry

Calculated values
Space-group type   P4/mmm
Raw total energy   -3.864 eV/atom

The structure in POSCAR format:
```
CaScBi2Au
1.0
5.7099 0.0000 0.0000
0.0000 5.7099 0.0000
0.0000 0.0000 5.1457
Ca Sc Bi Au
1 1 2 1
direct
0.0000 0.0000 0.0000
0.5000 0.5000 0.0000
0.0000 0.5000 0.5000
0.5000 0.0000 0.5000
0.5000 0.5000 0.5000
```

9.
Material: Pm2ErSi3Rh4
Method: DFT, GGA-PBE
State: optimized geometry

Calculated values
Space-group type   P-4m2
E_form (uncorrected)   -990 meV per atom

The structure in POSCAR format:
```
Pm2ErSi3Rh4
1.0
4.1409 0.0000 0.0000
0.0000 4.1409 0.0000
0.0000 0.0000 10.8383
Pm Er Si Rh
2 1 3 4
direct
0.0000 0.5000 0.2318
0.5000 0.0000 0.7682
0.0000 0.0000 0.5000
0.0000 0.5000 0.8819
0.5000 0.0000 0.1181
0.5000 0.5000 0.5000
0.0000 0.0000 0.0000
0.0000 0.5000 0.6598
0.5000 0.0000 0.3402
0.5000 0.5000 0.0000
```

10.
Material: Er2Th
Method: DFT, GGA-PBE
State: optimized geometry

Calculated values
Space-group type   Fd-3m
Raw total energy   -5.168 eV/atom

The structure in POSCAR format:
```
Er2Th
1.0
0.0000 4.5566 4.5566
4.5566 0.0000 4.5566
4.5566 4.5566 0.0000
Er Th
4 2
direct
0.0000 0.0000 0.0000
0.0000 0.0000 0.5000
0.0000 0.5000 0.0000
0.5000 0.0000 0.0000
0.3750 0.3750 0.3750
0.6250 0.6250 0.6250
```

11.
Material: Ba8AsPt2
Method: DFT, GGA-PBE
State: optimized geometry

Calculated values
Space-group type   P-1
Raw total energy   -3.286 eV/atom

The structure in POSCAR format:
```
Ba8AsPt2
1.0
6.6412 0.0000 0.0000
0.0010 10.2273 0.0000
0.0013 5.1091 8.8673
Ba As Pt
8 1 2
direct
0.2352 0.3333 0.3336
0.2587 0.3232 0.8395
0.2588 0.8377 0.3231
0.2587 0.8391 0.8376
0.7413 0.1609 0.1624
0.7412 0.1623 0.6769
0.7413 0.6768 0.1605
0.7648 0.6667 0.6664
0.5000 0.0000 0.0000
0.2778 0.6667 0.6664
0.7222 0.3333 0.3336
```

12.
Material: NdSm2Pt2
Method: DFT, GGA-PBE
State: optimized geometry

Calculated values
Space-group type   P4/mbm
Raw total energy   -6.208 eV/atom

The structure in POSCAR format:
```
NdSm2Pt2
1.0
7.9604 0.0000 0.0000
0.0000 7.9604 0.0000
0.0000 0.0000 4.0094
Nd Sm Pt
2 4 4
direct
0.0000 0.0000 0.0000
0.5000 0.5000 0.0000
0.1624 0.3376 0.5000
0.3376 0.8376 0.5000
0.6624 0.1624 0.5000
0.8376 0.6624 0.5000
0.1336 0.6336 0.0000
0.3664 0.1336 0.0000
0.6336 0.8664 0.0000
0.8664 0.3664 0.0000
```

13.
Material: RhINO2
Method: DFT, GGA-PBE
State: optimized geometry

Calculated values
Space-group type   P4/mmm
E_form (uncorrected)   1452 meV per atom

The structure in POSCAR format:
```
RhINO2
1.0
3.8472 0.0000 0.0000
0.0000 3.8472 0.0000
0.0000 0.0000 4.3087
Rh I N O
1 1 1 2
direct
0.0000 0.0000 0.0000
0.5000 0.5000 0.0000
0.5000 0.5000 0.5000
0.0000 0.5000 0.5000
0.5000 0.0000 0.5000
```

14.
Material: TbNpRe
Method: DFT, GGA-PBE
State: optimized geometry

Calculated values
Space-group type   Pmma
Raw total energy   -9.577 eV/atom

The structure in POSCAR format:
```
TbNpRe
1.0
8.9712 0.0000 0.0000
0.0000 5.2896 0.0000
0.0000 0.0000 3.1893
Tb Np Re
2 2 2
direct
0.2500 0.0000 0.0056
0.7500 0.0000 0.9944
0.0000 0.5000 0.0000
0.5000 0.5000 0.0000
0.2500 0.5000 0.5015
0.7500 0.5000 0.4985
```

15.
Material: Cd6PdAu
Method: DFT, GGA-PBE
State: optimized geometry

Calculated values
Space-group type   Amm2
Raw total energy   -1.907 eV/atom

The structure in POSCAR format:
```
Cd6PdAu
1.0
4.7068 0.0000 0.0000
0.0000 3.1138 5.4630
0.0000 -3.1138 5.4630
Cd Pd Au
6 1 1
direct
0.0000 0.0000 0.0000
0.0000 0.4787 0.9975
0.0000 0.9975 0.4787
0.5000 0.1608 0.6559
0.5000 0.6545 0.6545
0.5000 0.6559 0.1608
0.5000 0.1588 0.1588
0.0000 0.4908 0.4908
```

16.
Material: Y2HoTe3
Method: DFT, GGA-PBE
State: optimized geometry

Calculated values
Space-group type   Immm
E_form (uncorrected)   -1287 meV per atom

The structure in POSCAR format:
```
Y2HoTe3
1.0
-2.1928 3.0696 6.5121
2.1928 -3.0696 6.5121
2.1928 3.0696 -6.5121
Y Ho Te
2 1 3
direct
0.1697 0.1697 0.0000
0.8303 0.8303 0.0000
0.5000 0.5000 0.0000
0.0000 0.5000 0.5000
0.3357 0.8357 0.5000
0.6643 0.1643 0.5000
```

17.
Material: In2OsAu
Method: DFT, GGA-PBE
State: optimized geometry

Calculated values
Space-group type   C2/m
Raw total energy   -4.578 eV/atom

The structure in POSCAR format:
```
In2OsAu
1.0
4.6090 -1.6108 0.0000
4.6090 1.6108 0.0000
-1.1364 0.0000 5.0828
In Os Au
2 1 1
direct
0.2430 0.2430 0.2362
0.7570 0.7570 0.7638
0.5000 0.5000 0.0000
0.0000 0.0000 0.5000
```

18.
Material: CaCr2SiHg
Method: DFT, GGA-PBE
State: optimized geometry

Calculated values
Space-group type   P4/mmm
E_form (uncorrected)   2240 meV per atom

The structure in POSCAR format:
```
CaCr2SiHg
1.0
4.4822 0.0000 0.0000
0.0000 4.4822 0.0000
0.0000 0.0000 5.0779
Ca Cr Si Hg
1 2 1 1
direct
0.0000 0.0000 0.0000
0.0000 0.5000 0.0000
0.5000 0.0000 0.0000
0.0000 0.0000 0.5000
0.5000 0.5000 0.5000
```

19.
Material: K2BeH
Method: DFT, GGA-PBE
State: optimized geometry

Calculated values
Space-group type   I-42d
Raw total energy   -1.679 eV/atom

The structure in POSCAR format:
```
K2BeH
1.0
-3.9521 3.9521 4.2580
3.9521 -3.9521 4.2580
3.9521 3.9521 -4.2580
K Be H
4 2 2
direct
0.0401 0.6250 0.9151
0.3750 0.2901 0.4151
0.7099 0.1250 0.0849
0.8750 0.9599 0.5849
0.2500 0.7500 0.5000
0.5000 0.5000 0.0000
0.0000 0.0000 0.0000
0.7500 0.2500 0.5000
```

20.
Material: YMgRh
Method: DFT, GGA-PBE
State: optimized geometry

Calculated values
Space-group type   P2_1/m
Raw total energy   -5.795 eV/atom

The structure in POSCAR format:
```
YMgRh
1.0
7.2453 0.0000 0.0000
0.0000 4.0959 0.0000
-0.0372 0.0000 12.6368
Y Mg Rh
6 6 6
direct
0.0401 0.2500 0.1206
0.1529 0.2500 0.4165
0.4565 0.7500 0.7852
0.5435 0.2500 0.2148
0.8471 0.7500 0.5835
0.9599 0.7500 0.8794
0.1289 0.2500 0.7014
0.3628 0.7500 0.0400
0.4988 0.2500 0.5859
0.5012 0.7500 0.4141
0.6372 0.2500 0.9600
0.8711 0.7500 0.2986
0.2472 0.7500 0.2500
0.2505 0.2500 0.9133
0.2501 0.7500 0.5784
0.7499 0.2500 0.4216
0.7495 0.7500 0.0867
0.7528 0.2500 0.7500
```

21.
Material: PuPaAgGe
Method: DFT, GGA-PBE
State: optimized geometry

Calculated values
Space-group type   F-43m
Raw total energy   -7.879 eV/atom

The structure in POSCAR format:
```
PuPaAgGe
1.0
0.0000 3.6047 3.6047
3.6047 0.0000 3.6047
3.6047 3.6047 0.0000
Pu Pa Ag Ge
1 1 1 1
direct
0.0000 0.0000 0.0000
0.5000 0.5000 0.5000
0.7500 0.7500 0.7500
0.2500 0.2500 0.2500
```

22.
Material: BaLa3Ru
Method: DFT, GGA-PBE
State: optimized geometry

Calculated values
Space-group type   C2/c
Raw total energy   -5.290 eV/atom

The structure in POSCAR format:
```
BaLa3Ru
1.0
8.8403 -6.9462 0.0000
8.8403 6.9462 0.0000
-2.1400 0.0000 6.3047
Ba La Ru
4 12 4
direct
0.1019 0.8981 0.7500
0.2943 0.7057 0.2500
0.7057 0.2943 0.7500
0.8981 0.1019 0.2500
0.0133 0.5772 0.8023
0.1455 0.2468 0.7391
0.2468 0.1455 0.2391
0.3106 0.4490 0.5862
0.4228 0.9867 0.6977
0.4490 0.3106 0.0862
0.5510 0.6894 0.9138
0.5772 0.0133 0.3023
0.6894 0.5510 0.4138
0.7532 0.8545 0.7609
0.8545 0.7532 0.2609
0.9867 0.4228 0.1977
0.2073 0.4128 0.0846
0.4128 0.2073 0.5846
0.5872 0.7927 0.4154
0.7927 0.5872 0.9154
```

23.
Material: Ca2MgHRh
Method: DFT, GGA-PBE
State: optimized geometry

Calculated values
Space-group type   P4/mmm
Raw total energy   -3.510 eV/atom

The structure in POSCAR format:
```
Ca2MgHRh
1.0
4.7013 0.0000 0.0000
0.0000 4.7013 0.0000
0.0000 0.0000 4.2265
Ca Mg H Rh
2 1 1 1
direct
0.0000 0.5000 0.0000
0.5000 0.0000 0.0000
0.0000 0.0000 0.5000
0.0000 0.0000 0.0000
0.5000 0.5000 0.5000
```

24.
Material: SrTl4Pb2
Method: DFT, GGA-PBE
State: optimized geometry

Calculated values
Space-group type   P4/mmm
Raw total energy   -2.658 eV/atom

The structure in POSCAR format:
```
SrTl4Pb2
1.0
8.0727 0.0000 0.0000
0.0000 8.0727 0.0000
0.0000 0.0000 3.6899
Sr Tl Pb
1 4 2
direct
0.0000 0.0000 0.0000
0.3010 0.3010 0.0000
0.3010 0.6990 0.0000
0.6990 0.3010 0.0000
0.6990 0.6990 0.0000
0.0000 0.5000 0.5000
0.5000 0.0000 0.5000
```

25.
Material: Pr4Te3Br4
Method: DFT, GGA-PBE
State: optimized geometry

Calculated values
Space-group type   Immm
E_form (uncorrected)   -1585 meV per atom

The structure in POSCAR format:
```
Pr4Te3Br4
1.0
-2.0390 4.5222 9.1519
2.0390 -4.5222 9.1519
2.0390 4.5222 -9.1519
Pr Te Br
4 3 4
direct
0.2243 0.0000 0.2243
0.2346 0.2346 0.0000
0.7654 0.7654 0.0000
0.7757 0.0000 0.7757
0.0957 0.5957 0.5000
0.5000 0.5000 0.0000
0.9043 0.4043 0.5000
0.1399 0.8264 0.3135
0.4871 0.1736 0.3135
0.5129 0.8264 0.6865
0.8601 0.1736 0.6865
```